Th4Sb3Pd: optimized geometry, PBE.

The calculation puts the volume at 31.1 Å³/atom. The calculation puts the total energy at -6.716 eV/atom. The value obtained for the uncorrected formation energy is -78.26 kJ/mol of atoms. The value obtained for the total magnetization is 0.00 Bohr magnetons per cell.

Unit cell a=7.7802 b=8.9052 c=7.5953 alpha=90.00 beta=109.17 gamma=90.00
Atoms (fractional coordinates):
Th: 0.2278 0.1139 0.0057
Th: 0.2278 0.8861 0.5057
Th: 0.2401 0.3664 0.4902
Th: 0.2401 0.6336 0.9902
Th: 0.7599 0.3664 0.0098
Th: 0.7599 0.6336 0.5098
Th: 0.7722 0.1139 0.4943
Th: 0.7722 0.8861 0.9943
Sb: 0.0000 0.3737 0.7500
Sb: 0.0000 0.6263 0.2500
Sb: 0.5000 0.1268 0.7500
Sb: 0.5000 0.3768 0.2500
Sb: 0.5000 0.6232 0.7500
Sb: 0.5000 0.8732 0.2500
Pd: 0.0000 0.1250 0.2500
Pd: 0.0000 0.8750 0.7500